1.
Here is Ac2BePt5 after structural relaxation from Alexandria via LeMat-Bulk. Energies are from GGA-PBE.

The value obtained for the formation energy is -85.5 kJ per mole of atoms. The calculation puts the mass density at 14.1 g/cm³. The density of states at the Fermi level is 2.01 states/eV/cell. For the total energy, the calculation gives -6.15 eV per atom.

extended XYZ file:
```
8
Lattice="5.3380 0.0844 2.8792 -1.5684 5.1033 2.8791 -0.0316 -0.0440 6.1528" Properties=species:S:1:pos:R:3 pbc="T T T"
Pt 0.9646 1.3275 1.5181
Pt 2.7260 3.7514 4.3142
Pt 3.4853 1.3700 2.9322
Pt 1.0147 1.3963 4.4506
Pt 0.2266 3.7380 2.9323
Be -0.0261 -0.0365 6.0747
Ac 3.6030 1.2481 6.0254
Ac 0.0746 3.8124 6.0255
```

2.
Here is Na2NiGe after structural relaxation from Alexandria via LeMat-Bulk. Energies are from GGA-PBE.

The value obtained for the formation energy is 13.8 kJ per mole of atoms. The calculation puts the mass density at 2.3 g/cm³. The density of states at the Fermi level is 4.62 states/eV/cell. For the total energy, the calculation gives -3.12 eV per atom.

extended XYZ file:
```
8
Lattice="-1.2036 -1.1115 -10.6470 -8.7095 -6.1277 1.6243 -6.2309 -1.8199 -4.5552" Properties=species:S:1:pos:R:3 pbc="T T T"
Ni -9.9485 -5.7836 -3.7211
Ni -4.9565 -3.6196 -4.5113
Na -3.1516 -1.6874 -5.4042
Na -10.1787 -5.3376 -6.4664
Na -11.5591 -6.4411 -11.6447
Na -7.3987 -4.6519 -3.6404
Ge 0.0000 0.0000 0.0000
Ge -6.1955 -3.2755 -9.8567
```

3.
Here is NaSrIr2 after structural relaxation from Alexandria via LeMat-Bulk. Energies are from GGA-PBE.

The value obtained for the formation energy is 55.6 kJ per mole of atoms. As for the excess energy over the best structure of this formula in the dataset: 0.000 eV per atom. The calculation puts the mass density at 9.5 g/cm³. The density of states at the Fermi level is 4.70 states/eV/cell. For the total energy, the calculation gives -4.60 eV per atom.

extended XYZ file:
```
8
Lattice="-5.5624 -2.5455 5.5056 -3.8159 -4.3381 -5.8610 -3.2254 -5.4641 0.3661" Properties=species:S:1:pos:R:3 pbc="T T T"
Ir -5.9850 -6.7352 0.0660
Ir -4.6884 -3.4666 2.7292
Ir -10.5761 -10.0656 0.0389
Ir -3.9581 -4.4283 -2.8127
Sr 0.0000 0.0000 0.0000
Sr -6.7385 -5.7258 2.8470
Na -4.6892 -3.4418 -0.1777
Na -5.8653 -6.6221 -2.8363
```

4.
Here is CrSeBr after structural relaxation from Alexandria via LeMat-Bulk. Energies are from GGA-PBE.

The calculation puts the formation energy without anion corrections at -0.091 eV per atom. The calculation puts the mass density at 5.2 g/cm³. The density of states at the Fermi level is 1.49 states/eV/cell. For the total energy, the calculation gives -5.02 eV per atom.

extended XYZ file:
```
3
Lattice="4.5549 0.0000 0.0000 2.2774 3.9446 0.0000 2.2774 1.3149 3.7190" Properties=species:S:1:pos:R:3 pbc="T T T"
Br 4.5549 2.6298 1.8595
Cr 2.2774 1.3149 0.9298
Se 0.0000 0.0000 0.0000
```